# 1
{"formula": "AlB", "functional": "PBE", "state": "optimized geometry", "vol_a3_per_atom": 19.4, "ef_kj_per_mol_atoms": 96.60, "crystal_system": "cubic", "lattice": [[-5.207, 3.841, -1.981], [-0.292, -3.408, -5.839], [-4.312, -4.407, 2.788]], "species": ["Al", "Al", "Al", "Al", "Al", "Al", "Al", "Al", "B", "B", "B", "B", "B", "B", "B", "B"], "frac_coords": [[0.154, 0.154, 0.846], [0.346, 0.346, 0.346], [0.346, 0.654, 0.654], [0.846, 0.154, 0.154], [0.654, 0.346, 0.654], [0.846, 0.846, 0.846], [0.654, 0.654, 0.346], [0.154, 0.846, 0.154], [0.169, 0.169, 0.169], [0.831, 0.169, 0.831], [0.331, 0.331, 0.669], [0.669, 0.331, 0.331], [0.831, 0.831, 0.169], [0.169, 0.831, 0.831], [0.331, 0.669, 0.331], [0.669, 0.669, 0.669]]}

# 2
{"formula": "BaAlB3", "functional": "PBE", "state": "optimized geometry", "vol_a3_per_atom": 24.6, "relative_energy_ev_per_atom": 1.716, "ef_kj_per_mol_atoms": 277.44, "crystal_system": "cubic", "lattice": [[4.970, 0.000, 0.000], [0.000, 4.970, 0.000], [0.000, 0.000, 4.970]], "species": ["Ba", "Al", "B", "B", "B"], "frac_coords": [[0.000, 0.000, 0.000], [0.500, 0.500, 0.500], [0.000, 0.000, 0.500], [0.000, 0.500, 0.000], [0.500, 0.000, 0.000]]}

# 3
{"formula": "BaAlB2", "functional": "PBE", "state": "optimized geometry", "vol_a3_per_atom": 19.8, "ef_kj_per_mol_atoms": 48.68, "crystal_system": "tetragonal", "lattice": [[-0.668, 0.850, 4.596], [3.346, -3.154, 1.070], [6.261, 3.990, 2.598]], "species": ["Al", "Al", "B", "B", "B", "B", "Ba", "Ba"], "frac_coords": [[0.250, 0.750, 0.500], [0.500, 0.500, 0.000], [0.375, 0.125, 0.250], [0.875, 0.625, 0.750], [0.375, 0.625, 0.250], [0.375, 0.625, 0.750], [0.750, 0.250, 0.500], [0.000, 0.000, 0.000]]}

no.,total energy (eV/cell)
1,-67.34
2,-11.32
3,-34.00